Material: LuF3
Method: DFT, PBE
State: relaxed

Values from the calculation:
* total energy: -6.546 eV per atom
* energy relative to the elements, uncorrected: -4.012 eV per atom
* Fermi-level density of states: 0.0000 states/eV per atom
* magnetization: 0.0 μB/f.u.

a b c (Å): 3.333 6.333 4.700
angles (deg): 90.00 90.00 90.00
Space group Imm2 (No. 44)
Unique sites:
Lu1 0.000 0.000 0.000
F1 0.000 0.304 0.290
F2 0.000 0.500 0.774



Material: LuF3
Method: DFT, PBE
State: relaxed

Values from the calculation:
* total energy: -6.621 eV per atom
* energy relative to the elements, uncorrected: -4.087 eV per atom
* Fermi-level density of states: 0.0000 states/eV per atom
* magnetization: 0.0 μB/f.u.

a b c (Å): 6.6812 6.6812 6.8462
angles (deg): 90.00 90.00 120.00
Space group P-3c1 (No. 165)
Unique sites:
Lu1 0.0000 0.3473 0.2500
F1 0.0000 0.0000 0.2500
F2 0.0723 0.3762 0.9230
F3 0.3333 0.6667 0.1848



Material: LuF3
Method: DFT, PBE
State: relaxed

Values from the calculation:
* total energy: -6.299 eV per atom
* energy relative to the elements, uncorrected: -3.765 eV per atom
* Fermi-level density of states: 0.0000 states/eV per atom
* magnetization: 0.0 μB/f.u.

a b c (Å): 3.585 3.585 6.327
angles (deg): 90.00 90.00 90.00
Space group I4/mmm (No. 139)
Unique sites:
Lu1 0.000 0.000 0.000
F1 0.000 0.000 0.500
F2 0.000 0.500 0.250



Material: LuF3
Method: DFT, PBE
State: relaxed

Values from the calculation:
* total energy: -6.670 eV per atom
* energy relative to the elements, uncorrected: -4.136 eV per atom
* Fermi-level density of states: 0.0000 states/eV per atom
* magnetization: 0.0 μB/f.u.

a b c (Å): 3.8720 3.8720 4.2503
angles (deg): 90.00 90.00 120.00
Space group P-3m1 (No. 164)
Unique sites:
Lu1 0.0000 0.0000 0.0000
F1 0.0000 0.0000 0.5000
F2 0.3333 0.6667 0.1078



Material: Na2LuF4
Method: DFT, PBE
State: relaxed

Values from the calculation:
* total energy: -5.110 eV per atom
* energy relative to the elements, uncorrected: -3.018 eV per atom
* Fermi-level density of states: 0.1684 states/eV per atom
* magnetization: 0.0 μB/f.u.

a b c (Å): 4.291 4.291 14.239
angles (deg): 90.00 90.00 90.00
Space group I4/mmm (No. 139)
Unique sites:
Na1 0.000 0.000 0.190
Lu1 0.000 0.000 0.500
F1 0.000 0.000 0.352
F2 0.000 0.500 0.000



Material: Nd2LuF
Method: DFT, PBE
State: relaxed

Values from the calculation:
* total energy: -5.100 eV per atom
* energy relative to the elements, uncorrected: -1.118 eV per atom
* Fermi-level density of states: 0.8416 states/eV per atom
* magnetization: 0.0 μB/f.u.

a b c (Å): 3.7902 3.7902 25.7573
angles (deg): 90.00 90.00 120.00
Space group R-3m (No. 166, hexagonal axes)
Unique sites:
Nd1 0.0000 0.0000 0.2236
Lu1 0.0000 0.0000 0.0000
F1 0.0000 0.0000 0.5000



Material: LuOF
Method: DFT, PBE
State: relaxed

Values from the calculation:
* total energy: -7.754 eV per atom
* energy relative to the elements, uncorrected: -3.970 eV per atom
* Fermi-level density of states: 0.0000 states/eV per atom
* magnetization: 0.0 μB/f.u.

a b c (Å): 5.483 5.386 5.492
angles (deg): 90.00 100.00 90.00
Space group P2_1/c (No. 14)
Unique sites:
Lu1 0.193 0.025 0.287
O1 0.038 0.747 0.510
F1 0.446 0.182 0.648



Material: LuOF
Method: DFT, PBE
State: relaxed

Values from the calculation:
* total energy: -7.489 eV per atom
* energy relative to the elements, uncorrected: -3.706 eV per atom
* Fermi-level density of states: 0.0000 states/eV per atom
* magnetization: 0.0 μB/f.u.

a b c (Å): 3.4326 3.4326 4.9200
angles (deg): 90.00 90.00 120.00
Space group P3m1 (No. 156)
Unique sites:
Lu1 0.0000 0.0000 0.0000
O1 0.6667 0.3333 0.1519
F1 0.3333 0.6667 0.7563



Material: LuSeO3F
Method: DFT, PBE
State: relaxed

Values from the calculation:
* offset from the most stable computed form: 0.0000 eV/atom
* total energy: -6.567 eV per atom
* energy relative to the elements, uncorrected: -2.442 eV per atom
* Fermi-level density of states: 0.0000 states/eV per atom
* magnetization: 0.0 μB/f.u.

a b c (Å): 4.298 6.932 6.539
angles (deg): 90.00 95.55 90.00
Space group P2_1/m (No. 11)
Unique sites:
Lu1 0.036 0.250 0.128
Se1 0.179 0.750 0.354
O1 0.047 0.572 0.178
O2 0.089 0.250 0.472
F1 0.464 0.750 0.863



Material: LuSeO3F
Method: DFT, PBE
State: relaxed

Values from the calculation:
* offset from the most stable computed form: 0.0392 eV/atom
* total energy: -6.528 eV per atom
* energy relative to the elements, uncorrected: -2.403 eV per atom
* Fermi-level density of states: 0.0000 states/eV per atom
* magnetization: 0.0 μB/f.u.

a b c (Å): 6.543 6.922 7.105
angles (deg): 90.00 97.89 90.00
Space group P2_1/c (No. 14)
Unique sites:
Lu1 0.137 0.142 0.327
Se1 0.352 0.623 0.289
O1 0.172 0.026 0.646
O2 0.174 0.688 0.777
O3 0.478 0.188 0.362
F1 0.162 0.124 0.029



Material: LuPbF
Method: DFT, PBE
State: relaxed

Values from the calculation:
* total energy: -5.196 eV per atom
* energy relative to the elements, uncorrected: -1.829 eV per atom
* Fermi-level density of states: 0.1031 states/eV per atom
* magnetization: 0.0 μB/f.u.

a b c (Å): 3.7945 3.7945 5.2597
angles (deg): 90.00 90.00 120.00
Space group P-6m2 (No. 187)
Unique sites:
Lu1 0.0000 0.0000 0.0000
Pb1 0.6667 0.3333 0.5000
F1 0.3333 0.6667 0.0000



Material: Pm3LuF
Method: DFT, PBE
State: relaxed

Values from the calculation:
* total energy: -5.100 eV per atom
* energy relative to the elements, uncorrected: -0.971 eV per atom
* Fermi-level density of states: 0.9310 states/eV per atom
* magnetization: 0.0 μB/f.u.

a b c (Å): 5.118 5.118 5.118
angles (deg): 90.00 90.00 90.00
Space group Pm-3m (No. 221)
Unique sites:
Pm1 0.000 0.000 0.500
Lu1 0.500 0.500 0.500
F1 0.000 0.000 0.000



Material: Rb2LuF4
Method: DFT, PBE
State: relaxed

Values from the calculation:
* total energy: -5.153 eV per atom
* energy relative to the elements, uncorrected: -3.162 eV per atom
* Fermi-level density of states: 0.1428 states/eV per atom
* magnetization: 0.0 μB/f.u.

a b c (Å): 4.269 4.269 21.004
angles (deg): 90.00 90.00 90.00
Space group I4/mmm (No. 139)
Unique sites:
Rb1 0.000 0.000 0.150
Lu1 0.000 0.000 0.500
F1 0.000 0.000 0.400
F2 0.000 0.500 0.000



Material: RbLu3F10
Method: DFT, PBE
State: relaxed

Values from the calculation:
* total energy: -6.397 eV per atom
* energy relative to the elements, uncorrected: -4.022 eV per atom
* Fermi-level density of states: 0.0000 states/eV per atom
* magnetization: 0.1 μB/f.u.

a b c (Å): 8.480 13.242 16.128
angles (deg): 90.00 90.00 90.00
Space group Cmce (No. 64)
Unique sites:
Rb1 0.000 0.000 0.000
Rb2 0.000 0.000 0.500
Lu1 0.249 0.229 0.113
Lu2 0.250 0.001 0.250
F1 0.000 0.007 0.231
F2 0.000 0.207 0.106
F3 0.000 0.238 0.387
F4 0.214 0.130 0.672
F5 0.229 0.065 0.373
F6 0.248 0.159 0.512
F7 0.250 0.182 0.250



Material: LuSF
Method: DFT, PBE
State: relaxed

Values from the calculation:
* total energy: -6.281 eV per atom
* energy relative to the elements, uncorrected: -2.775 eV per atom
* Fermi-level density of states: 0.0000 states/eV per atom
* magnetization: 0.0 μB/f.u.

a b c (Å): 6.039 6.039 6.039
angles (deg): 90.00 90.00 90.00
Space group F-43m (No. 216)
Unique sites:
Lu1 0.000 0.000 0.000
S1 0.250 0.250 0.250
F1 0.250 0.250 0.750



Material: LuSF
Method: DFT, PBE
State: relaxed

Values from the calculation:
* total energy: -5.976 eV per atom
* energy relative to the elements, uncorrected: -2.469 eV per atom
* magnetization: 0.0 μB/f.u.

a b c (Å): 3.752 3.752 7.698
angles (deg): 90.00 90.00 90.00
Space group I4mm (No. 107)
Unique sites:
Lu1 0.000 0.000 0.000
S1 0.000 0.000 0.394
F1 0.000 0.000 0.737



Material: LuSF
Method: DFT, PBE
State: relaxed

Values from the calculation:
* total energy: -6.413 eV per atom
* energy relative to the elements, uncorrected: -2.907 eV per atom
* Fermi-level density of states: 0.0000 states/eV per atom
* magnetization: 0.0 μB/f.u.

a b c (Å): 3.8338 3.8338 3.7633
angles (deg): 90.00 90.00 120.00
Space group P-6m2 (No. 187)
Unique sites:
Lu1 0.0000 0.0000 0.0000
S1 0.6667 0.3333 0.5000
F1 0.3333 0.6667 0.0000



Material: LuSF
Method: DFT, PBE
State: relaxed

Values from the calculation:
* total energy: -6.486 eV per atom
* energy relative to the elements, uncorrected: -2.979 eV per atom
* Fermi-level density of states: 0.0000 states/eV per atom
* magnetization: 0.0 μB/f.u.

a b c (Å): 3.9172 3.9172 24.9395
angles (deg): 90.00 90.00 120.00
Space group R-3m (No. 166, hexagonal axes)
Unique sites:
Lu1 0.0000 0.0000 0.0000
Lu2 0.0000 0.0000 0.5000
S1 0.0000 0.0000 0.1088
F1 0.0000 0.0000 0.3188



Material: LuSc2F
Method: DFT, PBE
State: relaxed

Values from the calculation:
* total energy: -5.844 eV per atom
* energy relative to the elements, uncorrected: -1.080 eV per atom
* Fermi-level density of states: 1.2236 states/eV per atom
* magnetization: 0.0 μB/f.u.

a b c (Å): 3.4244 3.4244 24.1164
angles (deg): 90.00 90.00 120.00
Space group R-3m (No. 166, hexagonal axes)
Unique sites:
Lu1 0.0000 0.0000 0.0000
Sc1 0.0000 0.0000 0.2236
F1 0.0000 0.0000 0.5000



Material: LuSc3F
Method: DFT, PBE
State: relaxed

Values from the calculation:
* total energy: -5.923 eV per atom
* energy relative to the elements, uncorrected: -0.845 eV per atom
* Fermi-level density of states: 1.3303 states/eV per atom
* magnetization: 0.0 μB/f.u.

a b c (Å): 4.722 4.722 4.722
angles (deg): 90.00 90.00 90.00
Space group Pm-3m (No. 221)
Unique sites:
Lu1 0.000 0.000 0.000
Sc1 0.000 0.500 0.500
F1 0.500 0.500 0.500



Material: Sm2LuF
Method: DFT, PBE
State: relaxed

Values from the calculation:
* total energy: -5.086 eV per atom
* energy relative to the elements, uncorrected: -1.129 eV per atom
* Fermi-level density of states: 0.7756 states/eV per atom
* magnetization: 0.0 μB/f.u.

a b c (Å): 3.7411 3.7411 25.4769
angles (deg): 90.00 90.00 120.00
Space group R-3m (No. 166, hexagonal axes)
Unique sites:
Sm1 0.0000 0.0000 0.2235
Lu1 0.0000 0.0000 0.0000
F1 0.0000 0.0000 0.5000



Material: LuSnF7
Method: DFT, PBE
State: relaxed

Values from the calculation:
* total energy: -5.644 eV per atom
* energy relative to the elements, uncorrected: -3.241 eV per atom
* Fermi-level density of states: 0.0000 states/eV per atom
* magnetization: 0.1 μB/f.u.

a b c (Å): 8.829 5.574 11.908
angles (deg): 90.00 117.29 90.00
Space group P2_1/c (No. 14)
Unique sites:
Lu1 0.185 0.243 0.266
Sn1 0.272 0.742 0.044
F1 0.019 0.742 0.945
F2 0.025 0.570 0.735
F3 0.254 0.536 0.176
F4 0.270 0.021 0.148
F5 0.278 0.058 0.452
F6 0.294 0.542 0.418
F7 0.476 0.225 0.358